VASP calculation (PBE) on Ba2TcO5 after structural relaxation.

Structure (POSCAR):
```
Ba2TcO5
1.0
4.526 0.000 0.000
0.000 12.235 0.000
-0.059 0.000 11.788
Ba Tc O
8 4 20
Cartesian
1.090 0.776 1.399
1.060 5.341 7.293
1.100 8.787 0.994
1.070 9.565 6.888
3.397 2.670 4.900
3.367 3.447 10.795
3.407 6.893 4.495
3.377 11.459 10.389
1.457 1.589 8.140
1.486 4.528 2.246
2.981 7.707 9.542
3.010 10.646 3.648
1.049 6.234 2.528
1.019 12.119 8.422
1.050 3.001 9.200
1.079 3.117 3.306
1.114 7.395 5.771
1.084 10.957 11.665
1.126 2.094 6.433
1.156 4.024 0.539
1.211 7.668 9.256
1.240 10.685 3.362
3.227 1.550 8.427
3.256 4.567 2.532
3.311 8.211 11.249
3.341 10.141 5.355
3.383 1.277 0.123
3.353 4.840 6.017
3.388 9.118 8.483
3.417 9.234 2.589
3.448 0.116 3.366
3.418 6.001 9.260
```

D(E_F) (states/eV/atom): 0.242
Formation energy without anion corrections (eV per formula unit): -17.1
Total magnetic moment (μB/cell): 4.04
VASP energy (eV/atom): -7.015
Offset from the most stable computed form (eV/atom): 0.0000
Theoretical density (g cm⁻³): 4.6
SG: No. 14